# 1
DFT (GGA-PBE) results for NaBF4 after structural relaxation.

Summary:
The polymorph energy (0 for the lowest one) comes out at 7.2 kJ/mol of formula units. The electronic total energy is -5.519 eV per atom. As for the uncorrected formation energy: -17.6 eV/f.u.

Unit cell a=5.7555 b=5.7555 c=5.7555 alpha=105.96 beta=105.96 gamma=116.75
Element x y z (fractional)
B  0.2500  0.7500  0.5000
F  0.2241  0.8892  0.3349
B  0.5000  0.5000  0.0000
F  0.1108  0.7759  0.6651
Na  0.0000  0.0000  0.0000
F  0.1108  0.4457  0.3349
Na  0.7500  0.2500  0.5000
F  0.6392  0.8043  0.1651
F  0.5259  0.3608  0.1651
F  0.5543  0.8892  0.6651
F  0.1957  0.3608  0.8349
F  0.6392  0.4741  0.8349

---

# 2
DFT (GGA-PBE) results for PaTl2PbO8 after structural relaxation.

Summary:
The electronic total energy is -6.098 eV per atom. As for the uncorrected formation energy: -15.6 eV/f.u.

Unit cell a=6.2409 b=6.2409 c=6.2409 alpha=112.46 beta=112.46 gamma=103.65
Element x y z (fractional)
O  0.9750  0.6603  0.6854
Tl  0.7500  0.2500  0.5000
O  0.5217  0.7149  0.8067
O  0.9750  0.2896  0.3146
O  0.2851  0.0918  0.8067
Pa  0.2500  0.7500  0.5000
O  0.3397  0.0250  0.3146
O  0.2851  0.4783  0.1933
Tl  0.5000  0.5000  0.0000
Pb  0.0000  0.0000  0.0000
O  0.7104  0.0250  0.6854
O  0.9082  0.7149  0.1933